[1]
BeHgTe2 | GGA-PBE | relaxed

Crystal system = orthorhombic
Density = 6.4 g/cm³
DFT total energy = -2.683 eV/atom
E above lowest polymorph = 0.1347 eV per atom
Symmetry = Pnma (62)
Formation energy without anion corrections = -105 meV/atom

abc: 8.5980 4.0600 13.8174
angles: 90.00 90.00 90.00
With the nearest neighbours (Å) after each atom.
Fractional positions:
1 Hg 0.7072 0.2500 0.2711  5 Te 2.94-3.14
2 Te 0.7137 0.7500 0.9933  3 Be 2.48-2.51
3 Hg 0.2928 0.7500 0.7289  5 Te 2.94-3.14
4 Te 0.2863 0.2500 0.0067  3 Be 2.48-2.51
5 Te 0.5321 0.2500 0.7680  1 Be 2.49
6 Hg 0.2072 0.2500 0.2289  5 Te 2.94-3.14
7 Be 0.0589 0.2500 0.5526  4 Te 2.48-2.51, 2 Be 2.69
8 Te 0.4679 0.7500 0.2320  1 Be 2.49
9 Te 0.9679 0.7500 0.2680  1 Be 2.49
10 Be 0.4411 0.7500 0.0526  4 Te 2.48-2.51, 2 Be 2.69
11 Be 0.9411 0.7500 0.4474  4 Te 2.48-2.51, 2 Be 2.69
12 Te 0.7863 0.2500 0.4933  3 Be 2.48-2.51
13 Te 0.0321 0.2500 0.7320  1 Be 2.49
14 Be 0.5589 0.2500 0.9474  4 Te 2.48-2.51, 2 Be 2.69
15 Hg 0.7928 0.7500 0.7711  5 Te 2.94-3.14
16 Te 0.2137 0.7500 0.5067  3 Be 2.48-2.51


[2]
BeHgTe2 | GGA-PBE | relaxed

Crystal system = tetragonal
Density = 7.7 g/cm³
DFT total energy = -2.356 eV/atom
E above lowest polymorph = 0.4614 eV per atom
Symmetry = P4/mmm (123)
Formation energy without anion corrections = 222 meV/atom

abc: 4.1513 4.1513 5.7876
angles: 90.00 90.00 90.00
With the nearest neighbours (Å) after each atom.
Fractional positions:
1 Te 0.5000 0.5000 0.5000  2 Hg 2.89, 4 Be 2.94
2 Te 0.0000 0.0000 0.0000  2 Be 2.89, 4 Hg 2.94
3 Be 0.0000 0.0000 0.5000  6 Te 2.89-2.94
4 Hg 0.5000 0.5000 0.0000  6 Te 2.89-2.94


[3]
BeHgTe | GGA-PBE | relaxed

Crystal system = trigonal
Density = 5.4 g/cm³
DFT total energy = -2.445 eV/atom
E above lowest polymorph = 0.0000 eV per atom
Symmetry = P3m1 (156)
Formation energy without anion corrections = -55 meV/atom

abc: 4.0200 4.0200 7.3760
angles: 90.00 90.00 120.00
With the nearest neighbours (Å) after each atom.
Fractional positions:
1 Be 0.0000 0.0000 0.8428  3 Te 2.32
2 Te 0.3333 0.6667 0.8276  3 Be 2.32
3 Hg 0.6667 0.3333 0.3296  6 Hg 4.02, 6 Be 4.28-4.44, 6 Te 4.35-4.37


[4]
BeHgTe2 | GGA-PBE | relaxed

Crystal system = orthorhombic
Density = 6.0 g/cm³
DFT total energy = -2.533 eV/atom
E above lowest polymorph = 0.2842 eV per atom
Symmetry = Cmcm (63)
Formation energy without anion corrections = 44 meV/atom

abc: 11.5824 11.5824 5.8355
angles: 90.00 90.00 160.75
With the nearest neighbours (Å) after each atom.
Fractional positions:
1 Be 0.3515 0.6485 0.2500  3 Te 2.34-2.40
2 Hg 0.9088 0.0912 0.7500  2 Te 2.92
3 Te 0.0864 0.9136 0.7500  2 Be 2.40
4 Be 0.6485 0.3515 0.7500  3 Te 2.34-2.40
5 Te 0.2489 0.7511 0.2500  1 Be 2.34
6 Hg 0.0912 0.9088 0.2500  2 Te 2.92
7 Te 0.7511 0.2489 0.7500  1 Be 2.34
8 Te 0.9136 0.0864 0.2500  2 Be 2.40


[5]
Be2HgTe4 | GGA-PBE | relaxed

Crystal system = tetragonal
Density = 5.9 g/cm³
DFT total energy = -2.584 eV/atom
Symmetry = I4/mmm (139)
Formation energy without anion corrections = 319 meV/atom

abc: 5.3964 5.3964 8.0425
angles: 70.40 70.40 90.00
With the nearest neighbours (Å) after each atom.
Fractional positions:
1 Te 0.7415 0.7415 0.5170  1 Be 2.33
2 Hg 0.0000 0.0000 0.0000  4 Te 2.70
3 Be 0.4233 0.4233 0.1535  1 Be 2.17, 1 Te 2.33
4 Te 0.0000 0.5000 0.0000  2 Hg 2.70, 4 Be 2.91
5 Te 0.5000 0.0000 0.0000  2 Hg 2.70, 4 Be 2.91
6 Te 0.2585 0.2585 0.4830  1 Be 2.33
7 Be 0.5767 0.5767 0.8465  1 Be 2.17, 1 Te 2.33


[6]
BeHgTe2 | GGA-PBE | relaxed

Crystal system = orthorhombic
Density = 6.7 g/cm³
DFT total energy = -2.817 eV/atom
E above lowest polymorph = 0.0011 eV per atom
Symmetry = Pna2_1 (33)
Formation energy without anion corrections = -239 meV/atom

abc: 7.4281 8.6910 7.1309
angles: 90.00 90.00 90.00
With the nearest neighbours (Å) after each atom.
Fractional positions:
1 Te 0.6082 0.1494 0.5970  2 Be 2.47
2 Hg 0.5880 0.1240 0.9963  4 Te 2.86-2.88
3 Te 0.5581 0.5998 0.6552  2 Be 2.45-2.48
4 Te 0.9420 0.0998 0.1552  2 Be 2.45-2.48
5 Te 0.1082 0.3505 0.5970  2 Be 2.47
6 Be 0.5731 0.6263 0.0012  4 Te 2.45-2.48
7 Hg 0.0880 0.3760 0.9963  4 Te 2.86-2.88
8 Te 0.4420 0.4002 0.1552  2 Be 2.45-2.48
9 Te 0.3918 0.8506 0.0970  2 Be 2.47
10 Te 0.0580 0.9002 0.6552  2 Be 2.45-2.48
11 Be 0.0731 0.8737 0.0012  4 Te 2.45-2.48
12 Hg 0.4120 0.8760 0.4963  4 Te 2.86-2.88
13 Te 0.8918 0.6494 0.0970  2 Be 2.47
14 Be 0.9269 0.1263 0.5012  4 Te 2.45-2.48
15 Hg 0.9120 0.6240 0.4963  4 Te 2.86-2.88
16 Be 0.4269 0.3737 0.5012  4 Te 2.45-2.48


[7]
BeHgTe2 | GGA-PBE | relaxed

Crystal system = tetragonal
Density = 6.8 g/cm³
DFT total energy = -2.818 eV/atom
E above lowest polymorph = 0.0000 eV per atom
Symmetry = I-42d (122)
Formation energy without anion corrections = -240 meV/atom

abc: 6.1840 6.1840 7.3896
angles: 65.26 65.26 90.00
With the nearest neighbours (Å) after each atom.
Fractional positions:
1 Te 0.8750 0.8198 0.7500  2 Be 2.46
2 Hg 0.7500 0.2500 0.5000  4 Te 2.86
3 Be 0.5000 0.5000 0.0000  4 Te 2.46
4 Te 0.5698 0.1250 0.2500  2 Be 2.46
5 Te 0.3750 0.4302 0.7500  2 Be 2.46
6 Be 0.2500 0.7500 0.5000  4 Te 2.46
7 Hg 0.0000 0.0000 0.0000  4 Te 2.86
8 Te 0.1802 0.6250 0.2500  2 Be 2.46


[8]
BeHgTe2 | GGA-PBE | relaxed

Crystal system = orthorhombic
Density = 6.8 g/cm³
DFT total energy = -2.388 eV/atom
E above lowest polymorph = 0.4300 eV per atom
Symmetry = Imm2 (44)
Formation energy without anion corrections = 190 meV/atom

abc: 10.5887 10.5887 10.5887
angles: 163.02 160.96 25.62
With the nearest neighbours (Å) after each atom.
Fractional positions:
1 Hg 0.6865 0.1865 0.5000  2 Hg 3.13
2 Te 0.0157 0.0157 0.0000  4 Be 2.72
3 Te 0.3484 0.8484 0.5000  2 Be 2.61
4 Be 0.4495 0.4495 0.0000  6 Te 2.61-2.72